Nd2Dy3YS6, relaxed, DFT PBE; space group = C2/m, No. 12; energy relative to the elements, uncorrected = -2005 meV per atom
1.0
-3.000 2.558 0.015
-0.708 -0.876 7.902
7.077 5.266 -0.858
S Nd Y Dy
6 2 1 3
direct
0.663 0.592 0.326 S
0.337 0.408 0.674 S
0.666 0.073 0.332 S
0.996 0.249 0.992 S
0.004 0.751 0.008 S
0.334 0.927 0.668 S
0.168 0.335 0.335 Nd
0.832 0.665 0.665 Nd
0.500 0.000 0.000 Y
0.831 0.167 0.663 Dy
0.169 0.833 0.337 Dy
0.500 0.500 0.000 Dy


Nd4Dy3YS8, relaxed, DFT PBE; space group = R-3m, No. 166; energy relative to the elements, uncorrected = -2012 meV per atom
1.0
-5.802 4.729 -2.596
-3.819 -6.373 -3.076
2.001 0.026 7.665
Dy Nd S Y
3 4 8 1
direct
0.500 0.500 0.000 Dy
0.000 0.500 0.500 Dy
0.500 0.500 0.500 Dy
0.000 0.000 0.500 Nd
0.500 0.000 0.000 Nd
0.000 0.000 0.000 Nd
0.500 0.000 0.500 Nd
0.245 0.734 0.989 S
0.744 0.733 0.489 S
0.256 0.267 0.511 S
0.744 0.734 0.989 S
0.755 0.266 0.510 S
0.256 0.266 0.011 S
0.755 0.266 0.011 S
0.245 0.734 0.490 S
0.000 0.500 0.000 Y


Nd2DyYS4, relaxed, DFT PBE; space group = P2/m, No. 10; energy relative to the elements, uncorrected = -2014 meV per atom
1.0
-1.098 1.829 3.309
-0.488 -6.061 3.189
6.530 2.464 0.805
S Dy Y Nd
4 1 1 2
direct
0.000 0.744 0.234 S
0.000 0.256 0.766 S
0.500 0.245 0.235 S
0.500 0.755 0.765 S
0.500 0.500 0.000 Dy
0.000 0.000 0.000 Y
0.500 0.000 0.500 Nd
0.000 0.500 0.500 Nd


NdDy2YS4, relaxed, DFT PBE; space group = P2/m, No. 10; energy relative to the elements, uncorrected = -1997 meV per atom
1.0
3.910 0.000 0.000
0.000 6.873 -0.169
0.000 2.388 6.435
Nd S Dy Y
1 4 2 1
direct
0.500 0.500 0.000 Nd
0.500 0.244 0.746 S
0.000 0.239 0.260 S
0.000 0.761 0.740 S
0.500 0.756 0.254 S
0.500 0.000 0.500 Dy
0.000 0.000 0.000 Dy
0.000 0.500 0.500 Y


Nd3DyY2S6, relaxed, DFT PBE; space group = C2/m, No. 12; energy relative to the elements, uncorrected = -2018 meV per atom
1.0
6.882 -0.011 -0.001
-3.449 5.956 -0.001
-1.146 -1.985 6.590
S Y Dy Nd
6 2 1 3
direct
0.078 0.411 0.235 S
0.746 0.746 0.235 S
0.922 0.589 0.765 S
0.254 0.254 0.765 S
0.411 0.078 0.235 S
0.589 0.922 0.765 S
0.333 0.667 0.000 Y
0.667 0.333 0.000 Y
0.000 0.000 0.000 Dy
0.167 0.833 0.500 Nd
0.500 0.500 0.500 Nd
0.833 0.167 0.500 Nd


NdDy2Y3S6, relaxed, DFT PBE; space group = C2/m, No. 12; energy relative to the elements, uncorrected = -2002 meV per atom
1.0
6.830 -0.011 -0.001
-3.423 5.910 -0.001
-1.137 -1.969 6.432
Dy S Nd Y
2 6 1 3
direct
0.334 0.666 0.000 Dy
0.666 0.334 0.000 Dy
0.085 0.427 0.255 S
0.258 0.258 0.748 S
0.573 0.915 0.745 S
0.427 0.085 0.255 S
0.915 0.573 0.745 S
0.742 0.742 0.252 S
0.000 0.000 0.000 Nd
0.500 0.500 0.500 Y
0.162 0.838 0.500 Y
0.838 0.162 0.500 Y


Nd3Dy3YS8, relaxed, DFT PBE; space group = R-3m, No. 166; energy relative to the elements, uncorrected = -2055 meV per atom
1.0
7.916 0.000 0.000
-3.958 6.856 -0.024
0.000 -4.548 6.573
S Nd Dy Y
8 3 3 1
direct
0.255 0.510 0.265 S
0.247 0.990 0.737 S
0.247 0.494 0.737 S
0.745 0.490 0.735 S
0.257 0.010 0.263 S
0.753 0.010 0.263 S
0.753 0.506 0.263 S
0.743 0.990 0.737 S
0.500 0.500 0.000 Nd
0.000 0.000 0.000 Nd
0.000 0.500 0.000 Nd
0.500 0.000 0.500 Dy
0.500 0.500 0.500 Dy
0.000 0.500 0.500 Dy
0.000 0.000 0.500 Y


NdDy5Sb6, relaxed, DFT PBE; space group = C2/m, No. 12; energy relative to the elements, uncorrected = -1138 meV per atom
1.0
7.633 0.210 0.000
2.351 7.265 0.000
1.175 3.633 6.615
Dy Sb Nd
5 6 1
direct
0.000 0.333 0.335 Dy
0.500 0.500 0.000 Dy
0.000 0.667 0.665 Dy
0.500 0.164 0.671 Dy
0.500 0.836 0.329 Dy
0.746 0.423 0.662 Sb
0.748 0.745 0.000 Sb
0.254 0.915 0.662 Sb
0.252 0.255 0.000 Sb
0.746 0.085 0.338 Sb
0.254 0.577 0.338 Sb
0.000 0.000 0.000 Nd


Nd3Dy5Sb8, relaxed, DFT PBE; space group = R-3m, No. 166; energy relative to the elements, uncorrected = -1149 meV per atom
1.0
-2.783 -4.277 7.266
5.807 -4.453 5.028
2.159 3.053 8.049
Sb Nd Dy
8 3 5
direct
0.250 0.744 0.756 Sb
0.747 0.747 0.759 Sb
0.744 0.250 0.756 Sb
0.750 0.750 0.244 Sb
0.750 0.256 0.244 Sb
0.256 0.750 0.244 Sb
0.250 0.250 0.756 Sb
0.253 0.253 0.241 Sb
0.500 0.000 0.500 Nd
0.000 0.000 0.500 Nd
0.000 0.500 0.500 Nd
0.000 0.500 0.000 Dy
0.500 0.500 0.500 Dy
0.500 0.000 0.000 Dy
0.000 0.000 0.000 Dy
0.500 0.500 0.000 Dy


Nd8DySb6, relaxed, DFT PBE; space group = R-3, No. 148; energy relative to the elements, uncorrected = -813 meV per atom
1.0
-6.381 2.929 -4.220
-7.341 0.622 3.581
-2.625 9.182 2.392
Nd Sb Dy
8 6 1
direct
0.460 0.784 0.636 Nd
0.880 0.540 0.364 Nd
0.333 0.333 0.000 Nd
0.540 0.216 0.364 Nd
0.784 0.120 0.636 Nd
0.667 0.667 0.000 Nd
0.216 0.880 0.364 Nd
0.120 0.460 0.636 Nd
0.933 0.261 0.198 Sb
0.067 0.739 0.802 Sb
0.608 0.933 0.198 Sb
0.261 0.608 0.198 Sb
0.392 0.067 0.802 Sb
0.739 0.392 0.802 Sb
0.000 0.000 0.000 Dy


NdDy3Sb4, relaxed, DFT PBE; space group = Pm-3m, No. 221; energy relative to the elements, uncorrected = -1142 meV per atom
1.0
6.248 0.000 0.000
0.000 6.248 0.000
0.000 0.000 6.248
Dy Nd Sb
3 1 4
direct
0.500 0.000 0.500 Dy
0.000 0.500 0.500 Dy
0.500 0.500 0.000 Dy
0.000 0.000 0.000 Nd
0.500 0.500 0.500 Sb
0.500 0.000 0.000 Sb
0.000 0.500 0.000 Sb
0.000 0.000 0.500 Sb


Nd3Dy4Sb4, relaxed, DFT PBE; space group = Amm2, No. 38; energy relative to the elements, uncorrected = -738 meV per atom
1.0
4.334 0.000 0.000
-2.167 6.966 0.000
0.000 0.000 11.272
Nd Sb Dy
3 4 4
direct
0.364 0.727 0.648 Nd
0.295 0.589 0.000 Nd
0.364 0.727 0.352 Nd
0.991 0.982 0.500 Sb
0.727 0.453 0.781 Sb
0.951 0.902 0.000 Sb
0.727 0.453 0.219 Sb
0.065 0.130 0.244 Dy
0.593 0.186 0.000 Dy
0.065 0.130 0.756 Dy
0.659 0.317 0.500 Dy


Nd3DySb2, relaxed, DFT PBE; energy relative to the lowest polymorph listed for this composition = 0 kJ/mol of formula units; space group = P-4m2, No. 115; energy relative to the elements, uncorrected = -827 meV per atom
1.0
4.575 0.000 0.000
0.000 4.575 0.000
0.000 0.000 8.794
Sb Nd Dy
2 3 1
direct
0.500 0.000 0.724 Sb
0.000 0.500 0.276 Sb
0.500 0.000 0.354 Nd
0.000 0.000 0.000 Nd
0.000 0.500 0.646 Nd
0.500 0.500 0.000 Dy


Nd2DySb2, relaxed, DFT PBE; space group = P2_1/c, No. 14; energy relative to the elements, uncorrected = -898 meV per atom
1.0
-7.598 -0.172 -3.473
-2.430 -4.790 5.553
0.930 7.414 6.803
Sb Nd Dy
8 8 4
direct
0.335 0.041 0.580 Sb
0.165 0.541 0.420 Sb
0.350 0.543 0.091 Sb
0.665 0.959 0.420 Sb
0.650 0.457 0.909 Sb
0.150 0.043 0.909 Sb
0.835 0.459 0.580 Sb
0.850 0.957 0.091 Sb
0.954 0.675 0.893 Nd
0.454 0.825 0.893 Nd
0.755 0.635 0.251 Nd
0.745 0.135 0.749 Nd
0.546 0.175 0.107 Nd
0.046 0.325 0.107 Nd
0.255 0.865 0.251 Nd
0.245 0.365 0.749 Nd
0.955 0.182 0.393 Dy
0.455 0.318 0.393 Dy
0.545 0.682 0.607 Dy
0.045 0.818 0.607 Dy


Nd2DySb, relaxed, DFT PBE; energy relative to the lowest polymorph listed for this composition = 3 kJ/mol of formula units; space group = P4/mmm, No. 123; energy relative to the elements, uncorrected = -521 meV per atom
1.0
-0.596 -2.648 -4.114
1.214 -4.038 2.423
-4.672 -0.720 1.140
Sb Nd Dy
1 2 1
direct
0.500 0.000 0.000 Sb
0.000 0.500 0.000 Nd
0.000 0.000 0.500 Nd
0.500 0.500 0.500 Dy


NdDySb, relaxed, DFT PBE; space group = C2/m, No. 12; energy relative to the elements, uncorrected = -414 meV per atom
1.0
3.461 0.000 0.000
-1.730 5.882 -1.605
0.000 -6.060 11.054
Dy Sb Nd
2 2 2
direct
0.368 0.736 0.501 Dy
0.632 0.264 0.499 Dy
0.722 0.444 0.803 Sb
0.278 0.556 0.197 Sb
0.981 0.962 0.155 Nd
0.019 0.038 0.845 Nd


Nd5DySb6, relaxed, DFT PBE; space group = C2/m, No. 12; energy relative to the elements, uncorrected = -1176 meV per atom
1.0
-2.706 6.156 -3.951
-0.688 -1.846 -7.544
-6.676 -3.008 -2.685
Nd Sb Dy
5 6 1
direct
0.500 0.832 0.337 Nd
0.000 0.666 0.668 Nd
0.500 0.168 0.663 Nd
0.000 0.334 0.332 Nd
0.500 0.500 0.000 Nd
0.246 0.589 0.329 Sb
0.246 0.918 0.671 Sb
0.248 0.246 0.000 Sb
0.754 0.082 0.329 Sb
0.754 0.411 0.671 Sb
0.752 0.754 0.000 Sb
0.000 0.000 0.000 Dy


Nd2Dy5Sb4, relaxed, DFT PBE; space group = C2/m, No. 12; energy relative to the elements, uncorrected = -405 meV per atom
1.0
-3.227 -1.166 -0.339
1.889 -6.494 4.345
-3.689 13.623 5.788
Sb Dy Nd
4 5 2
direct
0.265 0.308 0.530 Sb
0.072 0.408 0.144 Sb
0.735 0.692 0.470 Sb
0.928 0.592 0.856 Sb
0.156 0.290 0.312 Dy
0.178 0.846 0.357 Dy
0.844 0.710 0.688 Dy
0.822 0.154 0.643 Dy
0.500 0.000 0.000 Dy
0.946 0.236 0.892 Nd
0.054 0.764 0.108 Nd


NdDySb, relaxed, DFT PBE; space group = C2/m, No. 12; energy relative to the elements, uncorrected = -707 meV per atom
1.0
4.222 0.000 0.000
-2.111 5.950 -0.590
0.000 -3.557 7.756
Nd Dy Sb
2 2 2
direct
0.427 0.853 0.155 Nd
0.573 0.147 0.845 Nd
0.157 0.313 0.555 Dy
0.843 0.687 0.445 Dy
0.845 0.689 0.818 Sb
0.155 0.311 0.182 Sb


Nd4Dy3Sb4, relaxed, DFT PBE; space group = Immm, No. 71; energy relative to the elements, uncorrected = -781 meV per atom
1.0
-3.383 -1.351 1.788
4.145 0.320 8.083
-3.189 9.007 -3.832
Nd Sb Dy
4 4 3
direct
0.332 0.505 0.664 Nd
0.668 0.495 0.336 Nd
0.668 0.841 0.336 Nd
0.332 0.159 0.664 Nd
0.500 0.789 0.000 Sb
0.725 0.225 0.450 Sb
0.500 0.211 0.000 Sb
0.275 0.775 0.550 Sb
0.905 0.905 0.810 Dy
0.000 0.500 0.000 Dy
0.095 0.095 0.190 Dy


Nd4DySb2, relaxed, DFT PBE; space group = I4/mmm, No. 139; energy relative to the elements, uncorrected = 102 meV per atom
1.0
5.425 0.000 0.000
0.000 5.425 0.000
-2.712 -2.712 8.504
Sb Dy Nd
2 1 4
direct
0.367 0.367 0.734 Sb
0.633 0.633 0.266 Sb
0.000 0.000 0.000 Dy
0.816 0.816 0.632 Nd
0.500 0.000 0.000 Nd
0.000 0.500 0.000 Nd
0.184 0.184 0.368 Nd


NdDySb2, relaxed, DFT PBE; energy relative to the lowest polymorph listed for this composition = 48 kJ/mol of formula units; space group = R3m, No. 160; energy relative to the elements, uncorrected = -1032 meV per atom
1.0
-3.555 1.862 1.860
-3.739 -2.323 0.439
-0.140 -2.558 7.554
Dy Sb Nd
1 2 1
direct
0.498 0.498 0.506 Dy
0.085 0.085 0.746 Sb
0.248 0.248 0.255 Sb
0.669 0.669 0.993 Nd